1.
Here is AcZn2Ag9 after structural relaxation from Alexandria via LeMat-Bulk. Energies are from PBE.

The space group is I4_1/amd (No. 141, origin choice 2) and the conventional cell measures 11.377, 11.377 and 7.305 Å, with angles of 90.00, 90.00 and 90.00 degrees. Symmetry generates all atoms from Ac at (0.000, 0.250, 0.375), Zn at (0.000, 0.000, 0.000), Ag at (0.000, 0.250, 0.875) and Ag at (0.122, 0.047, 0.685).

For the total magnetization, the calculation gives 0.00 μB per formula unit.



2.
Here is MoRhCl2 after structural relaxation from Alexandria via LeMat-Bulk. Energies are from PBE.

The space group is Immm (No. 71) and the conventional cell measures 2.956, 4.473 and 13.685 Å, with angles of 90.00, 90.00 and 90.00 degrees. Symmetry generates all atoms from Mo at (0.000, 0.000, 0.000), Rh at (0.000, 0.000, 0.500) and Cl at (0.000, 0.500, 0.357).

For the total magnetization, the calculation gives 0.00 μB per formula unit. The uncorrected formation energy is 1.8 kJ/mol of formula units.



Electronic total energy for every record listed, in sequence, given in eV per atom: -2.81; -5.46.